[1]
Compound: Pu2CuPd
Source: Alexandria via LeMat-Bulk
Functional: PBE
Structure: relaxed

The structure in POSCAR format:
```
Pu2CuPd
1.0
4.5235 0.0000 0.0000
0.0000 4.5235 0.0000
0.0000 0.0000 4.0663
Pu Cu Pd
2 1 1
direct
0.0000 0.5000 0.0000
0.5000 0.0000 0.0000
0.0000 0.0000 0.5000
0.5000 0.5000 0.5000
```

Total energy   -0.70711 Ry per atom
Crystal system   tetragonal

---

[2]
Compound: Pu2CuPd
Source: Alexandria via LeMat-Bulk
Functional: PBE
Structure: relaxed

The structure in POSCAR format:
```
Pu2CuPd
1.0
3.7428 0.0000 0.0000
0.0000 3.7428 0.0000
0.0000 0.0000 6.0021
Pu Cu Pd
2 1 1
direct
0.0000 0.0000 0.2498
0.0000 0.0000 0.7502
0.5000 0.5000 0.0000
0.5000 0.5000 0.5000
```

Total energy   -0.70864 Ry per atom
Crystal system   tetragonal